# La2Pr4Th

An optimized crystal structure of La2Pr4Th (PBE-GGA, Alexandria).

a b c (Å): 8.393 8.393 7.482
angles (deg): 97.92 97.92 89.05
Positions (direct):
La 0.000 0.000 0.000
La 0.000 0.000 0.500
La 0.000 0.500 0.000
La 0.500 0.000 0.000
Pr 0.167 0.663 0.662
Pr 0.252 0.252 0.708
Pr 0.258 0.258 0.251
Pr 0.337 0.833 0.338
Pr 0.663 0.167 0.662
Pr 0.742 0.742 0.749
Pr 0.748 0.748 0.292
Pr 0.833 0.337 0.338
Th 0.500 0.500 0.000
Th 0.500 0.500 0.500

Results
Energy above the most stable polymorph in this dataset, meV/atom: 0.0
V, Å³ per atom: 36.9
Density of states at the Fermi level, states/eV/f.u.: 11.91
Spin magnetization, μB per formula unit: 0.00
E_tot, eV for the cell shown: -69.2
Energy of formation, eV per atom: 0.258